First-principles (PBE-GGA) data for a relaxed LaTaAsO crystal, as listed in OQMD.

a = 4.0524 Å, b = 4.0524 Å, c = 9.4552 Å
α = 90.00°, β = 90.00°, γ = 90.00°
Element x y z (fractional)
La 0.2500 0.2500 0.1304
La 0.7500 0.7500 0.8696
Ta 0.2500 0.7500 0.5000
Ta 0.7500 0.2500 0.5000
As 0.2500 0.2500 0.6865
As 0.7500 0.7500 0.3135
O 0.2500 0.7500 0.0000
O 0.7500 0.2500 0.0000

Calculated total energy: -8.473 eV per atom
Energy relative to the lowest polymorph listed for this composition: 0.00 eV/f.u.

=====

First-principles (PBE-GGA) data for a relaxed LaYZn2As2O2 crystal, as listed in OQMD.

a = 4.0259 Å, b = 4.0259 Å, c = 8.9753 Å
α = 90.00°, β = 90.00°, γ = 90.00°
Element x y z (fractional)
La 0.0000 0.0000 0.0000
Y 0.5000 0.5000 0.7432
Zn 0.0000 0.5000 0.3681
Zn 0.5000 0.0000 0.3681
As 0.0000 0.0000 0.5455
As 0.5000 0.5000 0.1895
O 0.0000 0.5000 0.8590
O 0.5000 0.0000 0.8590

Calculated total energy: -5.984 eV per atom

=====

First-principles (PBE-GGA) data for a relaxed LaZnAsO crystal, as listed in OQMD.

a = 4.3975 Å, b = 6.5044 Å, c = 6.1918 Å
α = 90.00°, β = 90.00°, γ = 90.00°
Element x y z (fractional)
La 0.0000 0.2503 0.0000
La 0.0000 0.7497 0.5000
Zn 0.5000 0.1406 0.6046
Zn 0.5000 0.8594 0.1046
As 0.0000 0.2770 0.5001
As 0.0000 0.7230 0.0001
O 0.5000 0.1478 0.9522
O 0.5000 0.8522 0.4522

Calculated total energy: -5.594 eV per atom

=====

First-principles (PBE-GGA) data for a relaxed LaZnAsO crystal, as listed in OQMD.

a = 5.0373 Å, b = 4.1775 Å, c = 7.1291 Å
α = 90.00°, β = 90.00°, γ = 90.00°
Element x y z (fractional)
La 0.0000 0.2493 0.0000
La 0.0000 0.7507 0.5000
Zn 0.5000 0.2505 0.3390
Zn 0.5000 0.7495 0.8390
As 0.5000 0.2488 0.6743
As 0.5000 0.7512 0.1743
O 0.0000 0.2506 0.3341
O 0.0000 0.7494 0.8341

Calculated total energy: -5.672 eV per atom

=====

- Which of these has the lowest calculated total energy?
  LaTaAsO

=====

- Which value of calculated total energy does entry 1 give?
  -8.473 eV per atom